A plane-wave DFT calculation with GGA-PBE was carried out for Sm3Ho6Cd after structural relaxation.

a b c (Å): 6.1970 11.0038 11.0038
angles (deg): 123.25 90.00 90.00
Atoms (fractional coordinates):
Sm 0.4138 0.9542 0.7077
Sm 0.9138 0.7077 0.9542
Sm 0.0741 0.3972 0.6028
Sm 0.5741 0.6028 0.3972
Sm 0.9138 0.0458 0.2923
Sm 0.4138 0.2923 0.0458
Ho 0.0496 0.7114 0.6304
Ho 0.5496 0.6304 0.7114
Ho 0.3853 0.5703 0.9657
Ho 0.8853 0.9657 0.5703
Ho 0.3994 0.9436 0.0564
Ho 0.6535 0.2887 0.7113
Ho 0.1535 0.7113 0.2887
Ho 0.8994 0.0564 0.9436
Ho 0.3853 0.0343 0.4297
Ho 0.8853 0.4297 0.0343
Ho 0.0496 0.3696 0.2886
Ho 0.5496 0.2886 0.3696
Cd 0.1609 0.2401 0.7599
Cd 0.6609 0.7599 0.2401

## Properties
N(E_F) = 12.6 states/eV/f.u.
final energy = -0.154 hartree per atom
space-group type = Cmc2_1 (36)